# 1
Here is K4PmDy3Se8 after structural relaxation from Alexandria. Energies are from PBE.

```
K4PmDy3Se8
1.0
4.240 2.448 7.687
-4.240 2.448 7.687
0.000 -4.896 7.687
K Pm Dy Se
4 1 3 8
Cartesian
0.000 0.000 0.000
-2.120 -1.224 7.687
-2.120 1.224 15.374
0.000 2.448 7.687
0.000 0.000 11.531
-4.240 0.000 11.531
-2.120 1.224 3.844
2.120 1.224 3.844
-2.155 -1.244 13.121
0.000 0.000 5.415
0.000 -2.489 9.941
-2.155 1.244 9.941
2.155 -1.244 13.121
0.000 2.489 13.121
0.000 0.000 17.647
2.155 1.244 9.941
```

Results
calculated total energy: -4.938 eV/atom
crystal system: trigonal
volume: 29.923 Å³/atom



# 2
Here is Na2ZnH after structural relaxation from Alexandria. Energies are from PBE.

```
Na2ZnH
1.0
2.983 0.000 0.000
0.000 2.983 0.000
0.000 0.000 7.794
Na Zn H
2 1 1
Cartesian
0.000 0.000 1.464
0.000 0.000 6.330
1.492 1.492 3.897
1.492 1.492 0.000
```

Results
calculated total energy: -1.772 eV/atom
crystal system: tetragonal
volume: 17.340 Å³/atom